PBE Tc2PRh, relaxed; E_form = 0.3 eV/f.u.; spin magnetization = 0.00 μB/f.u.; theoretical density = 9.8 Mg/m³
1.0
-0.678 1.343 2.462
2.738 -2.018 1.854
3.348 3.588 -1.036
Tc P Rh
2 1 1
direct
0.000 0.000 0.763
0.000 0.000 0.237
0.500 0.500 0.000
0.500 0.500 0.500

=====

PBE TcP2Rh, relaxed; E_form = -1.2 eV/f.u.; spin magnetization = 0.00 μB/f.u.; theoretical density = 8.0 Mg/m³
1.0
7.484 0.014 0.008
6.902 2.893 0.008
6.902 1.395 2.535
P Rh Tc
2 1 1
direct
0.002 0.002 0.002
0.498 0.498 0.498
0.250 0.250 0.250
0.750 0.750 0.750

=====

PBE TcPRh3, relaxed; E_form = 1.9 eV/f.u.; spin magnetization = 4.93 μB/f.u.; theoretical density = 8.7 Mg/m³
1.0
-1.528 3.867 -1.357
-3.473 -0.454 2.620
2.176 1.993 3.229
P Rh Tc
1 3 1
direct
0.000 0.000 0.000
0.000 0.500 0.000
0.000 0.000 0.500
0.500 0.000 0.000
0.500 0.500 0.500

=====

PBE TcP2Rh, relaxed; E_form = 0.2 eV/f.u.; spin magnetization = 0.00 μB/f.u.; theoretical density = 7.6 Mg/m³
1.0
-3.641 -1.313 -2.896
3.869 -2.284 -1.783
-0.418 -2.942 0.254
P Rh Tc
2 1 1
direct
0.000 0.000 0.000
0.500 0.500 0.000
0.500 0.000 0.500
0.000 0.500 0.500